Record 1
VASP calculation (PBE) on crystalline CrTe2Ir at its relaxed geometry.

```
CrTe2Ir
1.0
4.070 0.010 -0.002
2.032 3.526 -0.002
2.016 1.168 6.252
Cr Ir Te
1 1 2
Direct
0.750 0.750 0.750
0.250 0.250 0.250
0.990 0.990 0.029
0.510 0.510 0.471
```

Magnetization in μB/f.u.: 4.8
Space-group type: C2/m (12)
Electronic total energy in eV per atom: -6.0083
ΔE_f (raw) in eV/atom: 0.184

=====

Record 2
VASP calculation (PBE) on crystalline Ta2GaMo at its relaxed geometry.

```
Ta2GaMo
1.0
-2.940 0.004 0.942
-0.711 -0.968 2.844
-0.256 7.683 4.226
Ta Ga Mo
2 1 1
Direct
0.087 0.087 0.738
0.246 0.246 0.261
0.667 0.667 0.000
0.500 0.500 0.501
```

Magnetization in μB/f.u.: 0.0
DFT formation energy in eV per atom: 0.17
Space-group type: R3m (160)
Electronic total energy in eV per atom: -9.2163

=====

Record 3
VASP calculation (PBE) on crystalline SrCo3Sn at its relaxed geometry.

```
SrCo3Sn
1.0
4.841 0.000 0.000
0.000 4.841 0.000
0.000 0.000 4.841
Sr Co Sn
1 3 1
Direct
0.500 0.500 0.500
0.000 0.500 0.000
0.000 0.000 0.500
0.500 0.000 0.000
0.000 0.000 0.000
```

Magnetization in μB/f.u.: 4.4
DFT formation energy in eV per atom: 0.77
Space-group type: Pm-3m (221)
Electronic total energy in eV per atom: -4.6350

=====

Record 4
VASP calculation (PBE) on crystalline Ca2LaTl2Ag2 at its relaxed geometry.

```
Ca2LaTl2Ag2
1.0
4.993 0.000 0.000
2.496 4.324 0.000
2.496 1.441 9.376
Ca La Tl Ag
2 1 2 2
Direct
0.125 0.125 0.625
0.875 0.875 0.375
0.000 0.000 0.000
0.737 0.737 0.790
0.263 0.263 0.210
0.601 0.601 0.196
0.399 0.399 0.804
```

Magnetization in μB/f.u.: 0.0
DFT formation energy in eV per atom: -0.26
Space-group type: R-3m (166)
Electronic total energy in eV per atom: -3.0283

=====

Record 5
VASP calculation (PBE) on crystalline Pm12Nd6Y at its relaxed geometry.

```
Pm12Nd6Y
1.0
-3.453 -5.431 7.624
9.290 -2.582 -2.564
-0.867 9.801 1.656
Pm Nd Y
12 6 1
Direct
0.880 0.120 0.500
0.269 0.908 0.269
0.269 0.269 0.908
0.092 0.731 0.731
0.731 0.731 0.092
0.731 0.092 0.731
0.500 0.880 0.120
0.120 0.500 0.880
0.120 0.880 0.500
0.500 0.120 0.880
0.880 0.500 0.120
0.908 0.269 0.269
0.731 0.477 0.731
0.731 0.731 0.477
0.477 0.731 0.731
0.269 0.269 0.523
0.269 0.523 0.269
0.523 0.269 0.269
0.000 0.000 0.000
```

Magnetization in μB/f.u.: 0.0
DFT formation energy in eV per atom: 0.30
Space-group type: R-3m (166)
Electronic total energy in eV per atom: -4.5435

=====

Record 6
VASP calculation (PBE) on crystalline InCuNF2 at its relaxed geometry.

```
InCuNF2
1.0
-1.543 -0.153 -3.933
-1.216 -4.000 0.633
-3.797 1.382 1.436
N F Cu In
1 2 1 1
Direct
0.000 0.000 0.500
0.000 0.500 0.000
0.500 0.000 0.000
0.500 0.500 0.500
0.000 0.000 0.000
```

Magnetization in μB/f.u.: 1.0
Space-group type: P4/mmm (123)
Electronic total energy in eV per atom: -4.1317
ΔE_f (raw) in eV/atom: -0.351

=====

Record 7
VASP calculation (PBE) on crystalline CuSiB at its relaxed geometry.

```
CuSiB
1.0
-1.968 2.703 0.960
-2.553 -2.526 1.890
1.117 -1.177 5.601
Si B Cu
2 2 2
Direct
0.166 0.137 0.504
0.598 0.136 0.004
0.102 0.053 0.193
0.663 0.053 0.692
0.767 0.631 0.543
0.997 0.631 0.043
```

Magnetization in μB/f.u.: 0.0
Space-group type: Pc (7)
Electronic total energy in eV per atom: -5.2098
ΔE_f (raw) in eV/atom: 0.189

=====

Record 8
VASP calculation (PBE) on crystalline TlZnSn2 at its relaxed geometry.

```
TlZnSn2
1.0
-0.806 4.356 -0.362
-4.070 1.584 0.829
-0.007 2.807 6.515
Tl Zn Sn
1 1 2
Direct
0.499 0.499 0.503
0.667 0.667 0.000
0.058 0.058 0.827
0.277 0.277 0.170
```

Magnetization in μB/f.u.: 0.0
DFT formation energy in eV per atom: 0.10
Space-group type: R3m (160)
Electronic total energy in eV per atom: -2.8144

=====

Record 9
VASP calculation (PBE) on crystalline Mg2GaRh at its relaxed geometry.

```
Mg2GaRh
1.0
4.322 -0.010 -0.005
-2.150 3.750 0.005
-2.149 -1.252 4.544
Mg Ga Rh
2 1 1
Direct
0.148 0.824 0.972
0.582 0.041 0.624
0.035 0.267 0.302
0.735 0.617 0.353
```

Magnetization in μB/f.u.: 0.0
DFT formation energy in eV per atom: -0.39
Space-group type: Cm (8)
Electronic total energy in eV per atom: -3.7775

=====

Record 10
VASP calculation (PBE) on crystalline CaTbCd2 at its relaxed geometry.

```
CaTbCd2
1.0
-1.793 2.182 -2.489
-2.994 -4.193 -1.519
-3.653 1.257 3.732
Ca Tb Cd
1 1 2
Direct
0.500 0.000 0.000
0.500 0.500 0.500
0.000 0.000 0.500
0.000 0.500 0.000
```

Magnetization in μB/f.u.: 0.0
DFT formation energy in eV per atom: -0.35
Space-group type: P4/mmm (123)
Electronic total energy in eV per atom: -2.4704

=====

Record 11
VASP calculation (PBE) on crystalline TaBe2W at its relaxed geometry.

```
TaBe2W
1.0
0.000 2.943 2.943
2.943 0.000 2.943
2.943 2.943 0.000
Be W Ta
2 1 1
Direct
0.250 0.250 0.250
0.750 0.750 0.750
0.500 0.500 0.500
0.000 0.000 0.000
```

Magnetization in μB/f.u.: 0.0
DFT formation energy in eV per atom: 0.18
Space-group type: Fm-3m (225)
Electronic total energy in eV per atom: -7.8799

=====

- Which value of magnetization does entry 3 give?
  4.4 μB/f.u.